# 1
Dy2In5Hg12 | PBE | relaxed

Calculated total energy ... -1.510 eV/atom
M_tot ... 0.0 μB per formula unit

```
data_Dy2In5Hg12
_space_group_name_H-M_alt 'C 1 2/m 1'
_space_group_IT_number 12
_space_group_name_Hall '-C 2y'
_cell_length_a 20.281
_cell_length_b 9.936
_cell_length_c 5.044
_cell_angle_alpha 90.00
_cell_angle_beta 104.15
_cell_angle_gamma 90.00
loop_
_atom_site_label
_atom_site_type_symbol
_atom_site_fract_x
_atom_site_fract_y
_atom_site_fract_z
Dy1 Dy 0.000 0.219 0.000
In1 In 0.000 0.000 0.500
In2 In 0.200 0.500 0.701
In3 In 0.202 0.000 0.701
Hg1 Hg 0.081 0.500 0.080
Hg2 Hg 0.090 0.280 0.589
Hg3 Hg 0.111 0.000 0.110
Hg4 Hg 0.193 0.263 0.191
```

# 2
NaPa2Cu2Se6 | PBE | relaxed

Energy relative to the elements, uncorrected ... -0.998 eV per atom
M_tot ... 1.1 μB per formula unit

```
data_NaPa2Cu2Se6
_space_group_name_H-M_alt 'P -1'
_space_group_IT_number 2
_space_group_name_Hall '-P 1'
_cell_length_a 7.248
_cell_length_b 7.392
_cell_length_c 7.524
_cell_angle_alpha 63.09
_cell_angle_beta 62.87
_cell_angle_gamma 61.07
loop_
_atom_site_label
_atom_site_type_symbol
_atom_site_fract_x
_atom_site_fract_y
_atom_site_fract_z
Na1 Na 0.000 0.000 0.000
Pa1 Pa 0.330 0.333 0.001
Cu1 Cu 0.464 0.668 0.559
Se1 Se 0.083 0.715 0.757
Se2 Se 0.281 0.568 0.244
Se3 Se 0.433 0.072 0.761
```

# 3
FeRe2Hg | PBE | relaxed

Relative energy among the computed polymorphs ... 330 meV per atom
M_tot ... 2.2 μB per formula unit

```
data_FeRe2Hg
_space_group_name_H-M_alt 'P 4/m m m'
_space_group_IT_number 123
_space_group_name_Hall '-P 4 2'
_cell_length_a 3.847
_cell_length_b 3.847
_cell_length_c 4.143
_cell_angle_alpha 90.00
_cell_angle_beta 90.00
_cell_angle_gamma 90.00
loop_
_atom_site_label
_atom_site_type_symbol
_atom_site_fract_x
_atom_site_fract_y
_atom_site_fract_z
Fe1 Fe 0.000 0.000 0.000
Re1 Re 0.000 0.500 0.500
Hg1 Hg 0.500 0.500 0.000
```

# 4
LiSmHfOs | PBE | relaxed

Calculated total energy ... -7.120 eV/atom
M_tot ... 0.0 μB per formula unit

```
data_LiSmHfOs
_space_group_name_H-M_alt 'F -4 3 m'
_space_group_IT_number 216
_space_group_name_Hall 'F -4 2 3'
_cell_length_a 6.793
_cell_length_b 6.793
_cell_length_c 6.793
_cell_angle_alpha 90.00
_cell_angle_beta 90.00
_cell_angle_gamma 90.00
loop_
_atom_site_label
_atom_site_type_symbol
_atom_site_fract_x
_atom_site_fract_y
_atom_site_fract_z
Li1 Li 0.000 0.000 0.000
Sm1 Sm 0.250 0.250 0.750
Hf1 Hf 0.250 0.250 0.250
Os1 Os 0.000 0.000 0.500
```

# 5
Sm4InAu2 | PBE | relaxed

Calculated total energy ... -4.462 eV/atom
M_tot ... 0.0 μB per formula unit

```
data_Sm4InAu2
_space_group_name_H-M_alt 'R -3 m'
_space_group_IT_number 166
_space_group_name_Hall '-R 3 2"'
_cell_length_a 5.0373
_cell_length_b 5.0373
_cell_length_c 28.7724
_cell_angle_alpha 90.00
_cell_angle_beta 90.00
_cell_angle_gamma 120.00
loop_
_atom_site_label
_atom_site_type_symbol
_atom_site_fract_x
_atom_site_fract_y
_atom_site_fract_z
Sm1 Sm 0.0000 0.0000 0.1191
Sm2 Sm 0.0000 0.0000 0.2945
In1 In 0.0000 0.0000 0.5000
Au1 Au 0.0000 0.0000 0.3982
```

# 6
AgMo2Pb | PBE | relaxed

Calculated total energy ... -6.432 eV/atom
M_tot ... 0.0 μB per formula unit

```
data_AgMo2Pb
_space_group_name_H-M_alt 'C 1 2/m 1'
_space_group_IT_number 12
_space_group_name_Hall '-C 2y'
_cell_length_a 9.937
_cell_length_b 3.309
_cell_length_c 4.919
_cell_angle_alpha 90.00
_cell_angle_beta 104.63
_cell_angle_gamma 90.00
loop_
_atom_site_label
_atom_site_type_symbol
_atom_site_fract_x
_atom_site_fract_y
_atom_site_fract_z
Ag1 Ag 0.000 0.000 0.000
Mo1 Mo 0.249 0.500 0.186
Pb1 Pb 0.000 0.500 0.500
```

# 7
TlRe2MoRh | PBE | relaxed

Calculated total energy ... -6.006 eV/atom
M_tot ... 0.0 μB per formula unit

```
data_TlRe2MoRh
_space_group_name_H-M_alt 'P 4/m m m'
_space_group_IT_number 123
_space_group_name_Hall '-P 4 2'
_cell_length_a 4.863
_cell_length_b 4.863
_cell_length_c 4.702
_cell_angle_alpha 90.00
_cell_angle_beta 90.00
_cell_angle_gamma 90.00
loop_
_atom_site_label
_atom_site_type_symbol
_atom_site_fract_x
_atom_site_fract_y
_atom_site_fract_z
Tl1 Tl 0.000 0.000 0.000
Re1 Re 0.000 0.500 0.000
Mo1 Mo 0.500 0.500 0.500
Rh1 Rh 0.000 0.000 0.500
```

# 8
ErNbSi2Tc | PBE | relaxed

Energy relative to the elements, uncorrected ... -0.641 eV per atom
M_tot ... 0.0 μB per formula unit

```
data_ErNbSi2Tc
_space_group_name_H-M_alt 'I -4 m 2'
_space_group_IT_number 119
_space_group_name_Hall 'I -4 -2'
_cell_length_a 4.008
_cell_length_b 4.008
_cell_length_c 11.074
_cell_angle_alpha 90.00
_cell_angle_beta 90.00
_cell_angle_gamma 90.00
loop_
_atom_site_label
_atom_site_type_symbol
_atom_site_fract_x
_atom_site_fract_y
_atom_site_fract_z
Er1 Er 0.000 0.000 0.000
Nb1 Nb 0.000 0.500 0.750
Si1 Si 0.000 0.000 0.393
Tc1 Tc 0.000 0.500 0.250
```

# 9
K3Pm3SnTe8 | PBE | relaxed

Energy relative to the elements, uncorrected ... -1.113 eV per atom
M_tot ... 0.0 μB per formula unit

```
data_K3Pm3SnTe8
_space_group_name_H-M_alt 'C 1 2/m 1'
_space_group_IT_number 12
_space_group_name_Hall '-C 2y'
_cell_length_a 15.611
_cell_length_b 8.998
_cell_length_c 9.939
_cell_angle_alpha 90.00
_cell_angle_beta 121.61
_cell_angle_gamma 90.00
loop_
_atom_site_label
_atom_site_type_symbol
_atom_site_fract_x
_atom_site_fract_y
_atom_site_fract_z
K1 K 0.000 0.000 0.000
K2 K 0.250 0.250 0.000
Pm1 Pm 0.000 0.500 0.500
Pm2 Pm 0.250 0.250 0.500
Sn1 Sn 0.000 0.000 0.500
Te1 Te 0.012 0.241 0.294
Te2 Te 0.229 0.000 0.706
Te3 Te 0.238 0.500 0.714
```

# 10
YWAu2 | PBE | relaxed

Relative energy among the computed polymorphs ... 0 meV per atom
M_tot ... 0.0 μB per formula unit

```
data_YWAu2
_space_group_name_H-M_alt 'P m m m'
_space_group_IT_number 47
_space_group_name_Hall '-P 2 2'
_cell_length_a 3.027
_cell_length_b 4.107
_cell_length_c 6.248
_cell_angle_alpha 90.00
_cell_angle_beta 90.00
_cell_angle_gamma 90.00
loop_
_atom_site_label
_atom_site_type_symbol
_atom_site_fract_x
_atom_site_fract_y
_atom_site_fract_z
Y1 Y 0.000 0.000 0.000
W1 W 0.000 0.000 0.500
Au1 Au 0.500 0.500 0.277
```

# 11
MgZnTe2 | PBE | relaxed

Energy relative to the elements, uncorrected ... -0.288 eV per atom
M_tot ... 0.0 μB per formula unit

```
data_MgZnTe2
_space_group_name_H-M_alt 'I m m 2'
_space_group_IT_number 44
_space_group_name_Hall 'I 2 -2'
_cell_length_a 3.858
_cell_length_b 3.953
_cell_length_c 13.654
_cell_angle_alpha 90.00
_cell_angle_beta 90.00
_cell_angle_gamma 90.00
loop_
_atom_site_label
_atom_site_type_symbol
_atom_site_fract_x
_atom_site_fract_y
_atom_site_fract_z
Mg1 Mg 0.000 0.000 0.000
Zn1 Zn 0.000 0.500 0.744
Te1 Te 0.000 0.000 0.409
Te2 Te 0.000 0.500 0.166
```

# 12
Li8TmZn4 | PBE | relaxed

Calculated total energy ... -2.024 eV/atom
M_tot ... 0.0 μB per formula unit

```
data_Li8TmZn4
_space_group_name_H-M_alt 'I 4/m m m'
_space_group_IT_number 139
_space_group_name_Hall '-I 4 2'
_cell_length_a 9.244
_cell_length_b 9.244
_cell_length_c 5.256
_cell_angle_alpha 90.00
_cell_angle_beta 90.00
_cell_angle_gamma 90.00
loop_
_atom_site_label
_atom_site_type_symbol
_atom_site_fract_x
_atom_site_fract_y
_atom_site_fract_z
Li1 Li 0.000 0.217 0.000
Li2 Li 0.000 0.347 0.500
Tm1 Tm 0.000 0.000 0.500
Zn1 Zn 0.250 0.250 0.250
```

# 13
RbAcI | PBE | relaxed

Energy relative to the elements, uncorrected ... -0.402 eV per atom
M_tot ... 1.0 μB per formula unit

```
data_RbAcI
_space_group_name_H-M_alt 'P n m a'
_space_group_IT_number 62
_space_group_name_Hall '-P 2ac 2n'
_cell_length_a 9.022
_cell_length_b 6.127
_cell_length_c 12.562
_cell_angle_alpha 90.00
_cell_angle_beta 90.00
_cell_angle_gamma 90.00
loop_
_atom_site_label
_atom_site_type_symbol
_atom_site_fract_x
_atom_site_fract_y
_atom_site_fract_z
Rb1 Rb 0.133 0.250 0.174
Ac1 Ac 0.014 0.750 0.421
I1 I 0.128 0.250 0.832
```

# 14
CsZrRh2 | PBE | relaxed

Relative energy among the computed polymorphs ... 102 meV per atom
M_tot ... 0.0 μB per formula unit

```
data_CsZrRh2
_space_group_name_H-M_alt 'F m -3 m'
_space_group_IT_number 225
_space_group_name_Hall '-F 4 2 3'
_cell_length_a 6.974
_cell_length_b 6.974
_cell_length_c 6.974
_cell_angle_alpha 90.00
_cell_angle_beta 90.00
_cell_angle_gamma 90.00
loop_
_atom_site_label
_atom_site_type_symbol
_atom_site_fract_x
_atom_site_fract_y
_atom_site_fract_z
Cs1 Cs 0.000 0.000 0.000
Zr1 Zr 0.000 0.000 0.500
Rh1 Rh 0.250 0.250 0.250
```

# 15
LaHg2P2 | PBE | relaxed

Relative energy among the computed polymorphs ... 238 meV per atom
M_tot ... 0.0 μB per formula unit

```
data_LaHg2P2
_space_group_name_H-M_alt 'I 4/m m m'
_space_group_IT_number 139
_space_group_name_Hall '-I 4 2'
_cell_length_a 4.953
_cell_length_b 4.953
_cell_length_c 9.503
_cell_angle_alpha 90.00
_cell_angle_beta 90.00
_cell_angle_gamma 90.00
loop_
_atom_site_label
_atom_site_type_symbol
_atom_site_fract_x
_atom_site_fract_y
_atom_site_fract_z
La1 La 0.000 0.000 0.000
Hg1 Hg 0.000 0.000 0.358
P1 P 0.000 0.500 0.250
```

# 16
VSn2Rh2 | PBE | relaxed

Calculated total energy ... -6.483 eV/atom
M_tot ... 3.0 μB per formula unit

```
data_VSn2Rh2
_space_group_name_H-M_alt 'P 4/m b m'
_space_group_IT_number 127
_space_group_name_Hall '-P 4 2ab'
_cell_length_a 7.391
_cell_length_b 7.391
_cell_length_c 3.275
_cell_angle_alpha 90.00
_cell_angle_beta 90.00
_cell_angle_gamma 90.00
loop_
_atom_site_label
_atom_site_type_symbol
_atom_site_fract_x
_atom_site_fract_y
_atom_site_fract_z
V1 V 0.000 0.000 0.000
Sn1 Sn 0.162 0.338 0.500
Rh1 Rh 0.137 0.637 0.000
```

# 17
Rh3W4 | PBE | relaxed

Relative energy among the computed polymorphs ... 52 meV per atom
M_tot ... 0.0 μB per formula unit

```
data_Rh3W4
_space_group_name_H-M_alt 'I 4/m m m'
_space_group_IT_number 139
_space_group_name_Hall '-I 4 2'
_cell_length_a 3.255
_cell_length_b 3.255
_cell_length_c 20.517
_cell_angle_alpha 90.00
_cell_angle_beta 90.00
_cell_angle_gamma 90.00
loop_
_atom_site_label
_atom_site_type_symbol
_atom_site_fract_x
_atom_site_fract_y
_atom_site_fract_z
Rh1 Rh 0.000 0.000 0.000
Rh2 Rh 0.000 0.000 0.288
W1 W 0.000 0.000 0.147
W2 W 0.000 0.000 0.425
```

# 18
ScNi2Os | PBE | relaxed

Relative energy among the computed polymorphs ... 350 meV per atom
M_tot ... 0.0 μB per formula unit

```
data_ScNi2Os
_space_group_name_H-M_alt 'R -3 m'
_space_group_IT_number 166
_space_group_name_Hall '-R 3 2"'
_cell_length_a 2.7415
_cell_length_b 2.7415
_cell_length_c 25.8488
_cell_angle_alpha 90.00
_cell_angle_beta 90.00
_cell_angle_gamma 120.00
loop_
_atom_site_label
_atom_site_type_symbol
_atom_site_fract_x
_atom_site_fract_y
_atom_site_fract_z
Sc1 Sc 0.0000 0.0000 0.0000
Ni1 Ni 0.0000 0.0000 0.2469
Os1 Os 0.0000 0.0000 0.5000
```

# 19
TcMoW4 | PBE | relaxed

Relative energy among the computed polymorphs ... 0 meV per atom
M_tot ... 0.0 μB per formula unit

```
data_TcMoW4
_space_group_name_H-M_alt 'C 1 2/m 1'
_space_group_IT_number 12
_space_group_name_Hall '-C 2y'
_cell_length_a 10.029
_cell_length_b 3.170
_cell_length_c 6.322
_cell_angle_alpha 90.00
_cell_angle_beta 108.67
_cell_angle_gamma 90.00
loop_
_atom_site_label
_atom_site_type_symbol
_atom_site_fract_x
_atom_site_fract_y
_atom_site_fract_z
Tc1 Tc 0.000 0.000 0.000
Mo1 Mo 0.000 0.000 0.500
W1 W 0.167 0.500 0.334
W2 W 0.168 0.500 0.833
```

# 20
BaLaCd4 | PBE | relaxed

Relative energy among the computed polymorphs ... 0 meV per atom
M_tot ... 0.0 μB per formula unit

```
data_BaLaCd4
_space_group_name_H-M_alt 'P m m m'
_space_group_IT_number 47
_space_group_name_Hall '-P 2 2'
_cell_length_a 3.701
_cell_length_b 5.231
_cell_length_c 9.112
_cell_angle_alpha 90.00
_cell_angle_beta 90.00
_cell_angle_gamma 90.00
loop_
_atom_site_label
_atom_site_type_symbol
_atom_site_fract_x
_atom_site_fract_y
_atom_site_fract_z
Ba1 Ba 0.000 0.000 0.000
La1 La 0.000 0.500 0.500
Cd1 Cd 0.500 0.000 0.340
Cd2 Cd 0.500 0.500 0.176
```

# 21
Y4SbAs2Se | PBE | relaxed

Energy relative to the elements, uncorrected ... -1.546 eV per atom
M_tot ... 0.0 μB per formula unit

```
data_Y4SbAs2Se
_space_group_name_H-M_alt 'P 1 2/m 1'
_space_group_IT_number 10
_space_group_name_Hall '-P 2y'
_cell_length_a 7.234
_cell_length_b 4.179
_cell_length_c 7.272
_cell_angle_alpha 90.00
_cell_angle_beta 109.28
_cell_angle_gamma 90.00
loop_
_atom_site_label
_atom_site_type_symbol
_atom_site_fract_x
_atom_site_fract_y
_atom_site_fract_z
Y1 Y 0.242 0.000 0.235
Y2 Y 0.252 0.500 0.764
Sb1 Sb 0.500 0.500 0.500
As1 As 0.000 0.500 0.000
As2 As 0.500 0.000 0.000
Se1 Se 0.000 0.000 0.500
```

# 22
Tb3Dy4Zn | PBE | relaxed

Calculated total energy ... -4.269 eV/atom
M_tot ... 0.0 μB per formula unit

```
data_Tb3Dy4Zn
_space_group_name_H-M_alt 'P 4/m m m'
_space_group_IT_number 123
_space_group_name_Hall '-P 4 2'
_cell_length_a 3.553
_cell_length_b 3.553
_cell_length_c 18.696
_cell_angle_alpha 90.00
_cell_angle_beta 90.00
_cell_angle_gamma 90.00
loop_
_atom_site_label
_atom_site_type_symbol
_atom_site_fract_x
_atom_site_fract_y
_atom_site_fract_z
Tb1 Tb 0.000 0.000 0.000
Tb2 Tb 0.000 0.000 0.268
Dy1 Dy 0.500 0.500 0.135
Dy2 Dy 0.500 0.500 0.405
Zn1 Zn 0.000 0.000 0.500
```

# 23
SiSb2Se | PBE | relaxed

Energy relative to the elements, uncorrected ... 0.426 eV per atom
Relative energy among the computed polymorphs ... 345 meV per atom
M_tot ... 0.0 μB per formula unit

```
data_SiSb2Se
_space_group_name_H-M_alt 'I -4 m 2'
_space_group_IT_number 119
_space_group_name_Hall 'I -4 -2'
_cell_length_a 4.022
_cell_length_b 4.022
_cell_length_c 12.264
_cell_angle_alpha 90.00
_cell_angle_beta 90.00
_cell_angle_gamma 90.00
loop_
_atom_site_label
_atom_site_type_symbol
_atom_site_fract_x
_atom_site_fract_y
_atom_site_fract_z
Si1 Si 0.000 0.000 0.000
Sb1 Sb 0.000 0.000 0.500
Sb2 Sb 0.000 0.500 0.750
Se1 Se 0.000 0.500 0.250
```

# 24
ReHg2O | PBE | relaxed

Energy relative to the elements, uncorrected ... 0.424 eV per atom
M_tot ... 1.6 μB per formula unit

```
data_ReHg2O
_space_group_name_H-M_alt 'I -4 2 d'
_space_group_IT_number 122
_space_group_name_Hall 'I -4 2bw'
_cell_length_a 9.938
_cell_length_b 9.938
_cell_length_c 3.729
_cell_angle_alpha 90.00
_cell_angle_beta 90.00
_cell_angle_gamma 90.00
loop_
_atom_site_label
_atom_site_type_symbol
_atom_site_fract_x
_atom_site_fract_y
_atom_site_fract_z
Re1 Re 0.000 0.000 0.000
Hg1 Hg 0.127 0.750 0.625
O1 O 0.000 0.000 0.500
```

# 25
Mg2Zn2Pb | PBE | relaxed

Relative energy among the computed polymorphs ... 65 meV per atom
M_tot ... 0.0 μB per formula unit

```
data_Mg2Zn2Pb
_space_group_name_H-M_alt 'I 4/m m m'
_space_group_IT_number 139
_space_group_name_Hall '-I 4 2'
_cell_length_a 3.776
_cell_length_b 3.776
_cell_length_c 15.643
_cell_angle_alpha 90.00
_cell_angle_beta 90.00
_cell_angle_gamma 90.00
loop_
_atom_site_label
_atom_site_type_symbol
_atom_site_fract_x
_atom_site_fract_y
_atom_site_fract_z
Mg1 Mg 0.000 0.000 0.111
Zn1 Zn 0.000 0.500 0.250
Pb1 Pb 0.000 0.000 0.500
```